Entry 1:
First-principles (GGA-PBE) data for crystalline MnWAu2 at its relaxed geometry, as listed in Alexandria via LeMat-Bulk.

The energy of formation is 331 meV/atom. The value obtained for the total moment is 3.3 μB/cell.

The structure belongs to space group P2/m (No. 10); the cell edges are 2.8040, 4.1036 and 5.7004 Å and the angles 90.00°, 90.17° and 90.00°. Symmetry generates all atoms from Mn at (0.0000, 0.0000, 0.0000), W at (0.0000, 0.0000, 0.5000) and Au at (0.5000, 0.5000, 0.2505).

Entry 2:
First-principles (GGA-PBE) data for crystalline TiCd3Pt6 at its relaxed geometry, as listed in Alexandria via LeMat-Bulk.

The energy of formation is -503 meV/atom. The value obtained for the total moment is 0.0 μB/cell.

The structure belongs to space group P2_1/m (No. 11); the cell edges are 8.9138, 4.0829 and 9.2143 Å and the angles 90.00°, 92.03° and 90.00°. Symmetry generates all atoms from Ti at (0.0585, 0.2500, 0.3782), Cd at (0.2473, 0.2500, 0.0026), Cd at (0.3469, 0.7500, 0.7982), Cd at (0.4489, 0.2500, 0.5995), Pt at (0.0476, 0.7500, 0.8964), Pt at (0.1316, 0.2500, 0.6849), Pt at (0.1482, 0.7500, 0.2070), Pt at (0.2239, 0.7500, 0.4966), Pt at (0.3443, 0.2500, 0.3048) and Pt at (0.4482, 0.7500, 0.1027).

Entry 3:
First-principles (GGA-PBE) data for crystalline Pm3Pr3Pd2 at its relaxed geometry, as listed in Alexandria via LeMat-Bulk.

The energy of formation is -327 meV/atom. The value obtained for the total moment is 0.0 μB/cell.

The structure belongs to space group Cmcm (No. 63); the cell edges are 3.9907, 12.9297 and 18.8347 Å and the angles 90.00°, 90.00° and 90.00°. Symmetry generates all atoms from Pm at (0.0000, 0.1287, 0.2500), Pm at (0.0000, 0.1498, 0.5404), Pr at (0.0000, 0.1397, 0.7500), Pr at (0.0000, 0.4423, 0.6095) and Pd at (0.0000, 0.2624, 0.1296).

Entry 4:
First-principles (GGA-PBE) data for crystalline K2NaTcCl8 at its relaxed geometry, as listed in Alexandria via LeMat-Bulk.

The calculation puts the formation energy from raw total energies at -1211.6 meV per atom. The value obtained for the total moment is 4.0 μB/cell.

The structure belongs to space group P-1 (No. 2); the cell edges are 6.5430, 7.0972 and 8.2843 Å and the angles 79.47°, 75.10° and 74.55°. Symmetry generates all atoms from K at (0.0873, 0.1329, 0.2020), Na at (0.5000, 0.5000, 0.5000), Tc at (0.5000, 0.5000, 0.0000), Cl at (0.2394, 0.5016, 0.2630), Cl at (0.2613, 0.4268, 0.8590), Cl at (0.3464, 0.9168, 0.4886) and Cl at (0.3551, 0.8412, 0.9347).

Entry 5:
First-principles (GGA-PBE) data for crystalline CsZn2Ag2Cl7 at its relaxed geometry, as listed in Alexandria via LeMat-Bulk.

The calculation puts the formation energy from raw total energies at -1039.7 meV per atom. The value obtained for the total moment is 0.0 μB/cell.

The structure belongs to space group R32 (No. 155, hexagonal axes); the cell edges are 7.1344, 7.1344 and 33.0730 Å and the angles 90.00°, 90.00° and 120.00°. Symmetry generates all atoms from Cs at (0.0000, 0.0000, 0.0000), Zn at (0.0000, 0.0000, 0.4301), Ag at (0.0000, 0.0000, 0.2508), Cl at (0.0000, 0.0000, 0.5000) and Cl at (0.0033, 0.3052, 0.5921).

Entry 6:
First-principles (GGA-PBE) data for crystalline IrPbCl3 at its relaxed geometry, as listed in Alexandria via LeMat-Bulk.

The calculation puts the formation energy from raw total energies at -97.5 meV per atom. The value obtained for the total moment is 0.0 μB/cell.

The structure belongs to space group Pm-3m (No. 221); the cell edges are 4.8747, 4.8747 and 4.8747 Å and the angles 90.00°, 90.00° and 90.00°. Symmetry generates all atoms from Ir at (0.0000, 0.0000, 0.0000), Pb at (0.5000, 0.5000, 0.5000) and Cl at (0.0000, 0.0000, 0.5000).

Entry 7:
First-principles (GGA-PBE) data for crystalline Re2OsSe at its relaxed geometry, as listed in Alexandria via LeMat-Bulk.

The calculation puts the formation energy from raw total energies at 356.4 meV per atom. The value obtained for the total moment is 0.0 μB/cell.

The structure belongs to space group R3m (No. 160, hexagonal axes); the cell edges are 2.8593, 2.8593 and 25.6660 Å and the angles 90.00°, 90.00° and 120.00°. Symmetry generates all atoms from Re at (0.0000, 0.0000, 0.0000), Re at (0.0000, 0.0000, 0.2474), Os at (0.0000, 0.0000, 0.7487) and Se at (0.0000, 0.0000, 0.5016).

Entry 8:
First-principles (GGA-PBE) data for crystalline BeAlHg2 at its relaxed geometry, as listed in Alexandria via LeMat-Bulk.

The energy of formation is 406 meV/atom. The value obtained for the total moment is 0.0 μB/cell.

The structure belongs to space group Cmmm (No. 65); the cell edges are 3.0499, 5.9001 and 8.6964 Å and the angles 90.00°, 90.00° and 90.00°. Symmetry generates all atoms from Be at (0.0000, 0.0000, 0.0000), Al at (0.0000, 0.0000, 0.5000) and Hg at (0.0000, 0.5000, 0.2253).

Entry 9:
First-principles (GGA-PBE) data for crystalline DyZn2Pt3 at its relaxed geometry, as listed in Alexandria via LeMat-Bulk.

The energy of formation is -844 meV/atom. The value obtained for the total moment is 0.0 μB/cell.

The structure belongs to space group P6_3/mmc (No. 194); the cell edges are 4.4101, 4.4101 and 12.2813 Å and the angles 90.00°, 90.00° and 120.00°. Symmetry generates all atoms from Dy at (0.0000, 0.0000, 0.2500), Zn at (0.3333, 0.6667, 0.0827), Pt at (0.0000, 0.0000, 0.0000) and Pt at (0.3333, 0.6667, 0.6302).

Entry 10:
First-principles (GGA-PBE) data for crystalline Cu2OsW at its relaxed geometry, as listed in Alexandria via LeMat-Bulk.

The energy of formation is 442 meV/atom. The value obtained for the total moment is 0.0 μB/cell.

The structure belongs to space group P4/mmm (No. 123); the cell edges are 2.6375, 2.6375 and 7.9128 Å and the angles 90.00°, 90.00° and 90.00°. Symmetry generates all atoms from Cu at (0.0000, 0.0000, 0.2435), Os at (0.5000, 0.5000, 0.0000) and W at (0.5000, 0.5000, 0.5000).

Entry 11:
First-principles (GGA-PBE) data for crystalline Be8NbTc3 at its relaxed geometry, as listed in Alexandria via LeMat-Bulk.

The energy of formation is -401 meV/atom. The value obtained for the total moment is 0.0 μB/cell.

The structure belongs to space group P3m1 (No. 156); the cell edges are 4.4153, 4.4153 and 7.2581 Å and the angles 90.00°, 90.00° and 120.00°. Symmetry generates all atoms from Be at (0.0000, 0.0000, 0.0000), Be at (0.0000, 0.0000, 0.4945), Be at (0.1695, 0.3391, 0.7546), Be at (0.3374, 0.1687, 0.2429), Nb at (0.6667, 0.3333, 0.5598), Tc at (0.3333, 0.6667, 0.0592), Tc at (0.3333, 0.6667, 0.4332) and Tc at (0.6667, 0.3333, 0.9380).

Entry 12:
First-principles (GGA-PBE) data for crystalline Ac6HgRh4 at its relaxed geometry, as listed in Alexandria via LeMat-Bulk.

The energy of formation is -613 meV/atom. The value obtained for the total moment is 0.0 μB/cell.

The structure belongs to space group Cmcm (No. 63); the cell edges are 4.3374, 14.3739 and 22.2537 Å and the angles 90.00°, 90.00° and 90.00°. Symmetry generates all atoms from Ac at (0.0000, 0.0000, 0.0000), Ac at (0.0000, 0.1620, 0.2500), Ac at (0.0000, 0.2688, 0.5823), Ac at (0.0000, 0.4624, 0.1543), Hg at (0.0000, 0.1554, 0.7500), Rh at (0.0000, 0.0997, 0.1286) and Rh at (0.0000, 0.3633, 0.0426).

Entry 13:
First-principles (GGA-PBE) data for crystalline MgIn2I6 at its relaxed geometry, as listed in Alexandria via LeMat-Bulk.

The calculation puts the formation energy from raw total energies at -596.9 meV per atom. The value obtained for the total moment is 0.0 μB/cell.

The structure belongs to space group C2/c (No. 15); the cell edges are 17.0779, 16.1060 and 10.6720 Å and the angles 90.00°, 128.51° and 90.00°. Symmetry generates all atoms from Mg at (0.0000, 0.1740, 0.2500), In at (0.1723, 0.4302, 0.5470), I at (0.1080, 0.0737, 0.1960), I at (0.1238, 0.2518, 0.5434) and I at (0.1327, 0.4861, 0.2494).

Entry 14:
First-principles (GGA-PBE) data for crystalline CoBiS2 at its relaxed geometry, as listed in Alexandria via LeMat-Bulk.

The calculation puts the formation energy from raw total energies at 140.7 meV per atom. The value obtained for the total moment is 6.0 μB/cell.

The structure belongs to space group R-3m (No. 166, hexagonal axes); the cell edges are 4.1457, 4.1457 and 21.8767 Å and the angles 90.00°, 90.00° and 120.00°. Symmetry generates all atoms from Co at (0.0000, 0.0000, 0.0000), Bi at (0.0000, 0.0000, 0.5000) and S at (0.0000, 0.0000, 0.0975).

Entry 15:
First-principles (GGA-PBE) data for crystalline TlSiIr2 at its relaxed geometry, as listed in Alexandria via LeMat-Bulk.

The calculation puts the formation energy from raw total energies at 223.7 meV per atom. The value obtained for the total moment is 0.0 μB/cell.

The structure belongs to space group Pm (No. 6); the cell edges are 3.0219, 4.6126 and 5.0336 Å and the angles 90.00°, 100.77° and 90.00°. Symmetry generates all atoms from Tl at (0.0000, 0.0000, 0.0000), Si at (0.4650, 0.5000, 0.6975), Ir at (0.3988, 0.0000, 0.5177) and Ir at (0.8352, 0.5000, 0.3212).

Entry 16:
First-principles (GGA-PBE) data for crystalline BeVAg at its relaxed geometry, as listed in Alexandria via LeMat-Bulk.

The energy of formation is 248 meV/atom. The value obtained for the total moment is 0.0 μB/cell.

The structure belongs to space group Cm (No. 8); the cell edges are 8.7202, 3.2859 and 5.9082 Å and the angles 90.00°, 106.45° and 90.00°. Symmetry generates all atoms from Be at (0.0000, 0.0000, 0.0000), Be at (0.1480, 0.5000, 0.2580), V at (0.3348, 0.0000, 0.1411), V at (0.4809, 0.5000, 0.4022), Ag at (0.1285, 0.5000, 0.8178) and Ag at (0.3054, 0.0000, 0.6129).

Entry 17:
First-principles (GGA-PBE) data for crystalline CeY2P3 at its relaxed geometry, as listed in Alexandria via LeMat-Bulk.

The energy of formation is -1589 meV/atom. The value obtained for the total moment is 0.9 μB/cell.

The structure belongs to space group Immm (No. 71); the cell edges are 4.0404, 5.7086 and 12.0962 Å and the angles 90.00°, 90.00° and 90.00°. Symmetry generates all atoms from Ce at (0.0000, 0.0000, 0.0000), Y at (0.0000, 0.0000, 0.3333), P at (0.0000, 0.5000, 0.0000) and P at (0.0000, 0.5000, 0.3330).

Entry 18:
First-principles (GGA-PBE) data for crystalline Ac2CuS6 at its relaxed geometry, as listed in Alexandria via LeMat-Bulk.

The calculation puts the formation energy from raw total energies at -1055.0 meV per atom. The value obtained for the total moment is 0.0 μB/cell.

The structure belongs to space group C2/m (No. 12); the cell edges are 10.1426, 7.0976 and 6.4215 Å and the angles 90.00°, 92.84° and 90.00°. Symmetry generates all atoms from Ac at (0.1413, 0.0000, 0.2900), Cu at (0.0000, 0.5000, 0.5000), S at (0.0000, 0.2663, 0.0000) and S at (0.1167, 0.2530, 0.6819).

Entry 19:
First-principles (GGA-PBE) data for crystalline BaCuCl at its relaxed geometry, as listed in Alexandria via LeMat-Bulk.

The calculation puts the formation energy from raw total energies at -795.7 meV per atom. The value obtained for the total moment is 0.0 μB/cell.

The structure belongs to space group P3m1 (No. 156); the cell edges are 4.8275, 4.8275 and 5.3266 Å and the angles 90.00°, 90.00° and 120.00°. Symmetry generates all atoms from Ba at (0.0000, 0.0000, 0.0000), Cu at (0.6667, 0.3333, 0.6540) and Cl at (0.3333, 0.6667, 0.2523).

Entry 20:
First-principles (GGA-PBE) data for crystalline SmTh2Sc4 at its relaxed geometry, as listed in Alexandria via LeMat-Bulk.

The energy of formation is 249 meV/atom. The value obtained for the total moment is 0.0 μB/cell.

The structure belongs to space group Cmmm (No. 65); the cell edges are 3.6258, 21.1789 and 5.3748 Å and the angles 90.00°, 90.00° and 90.00°. Symmetry generates all atoms from Sm at (0.0000, 0.0000, 0.0000), Th at (0.0000, 0.4268, 0.5000), Sc at (0.0000, 0.1975, 0.5000) and Sc at (0.0000, 0.3176, 0.0000).

Entry 21:
First-principles (GGA-PBE) data for crystalline NaMn2Ni at its relaxed geometry, as listed in Alexandria via LeMat-Bulk.

The energy of formation is 576 meV/atom. The value obtained for the total moment is 32.2 μB/cell.

The structure belongs to space group Fm-3m (No. 225); the cell edges are 6.2082, 6.2082 and 6.2082 Å and the angles 90.00°, 90.00° and 90.00°. Symmetry generates all atoms from Na at (0.0000, 0.0000, 0.0000), Mn at (0.2500, 0.2500, 0.2500) and Ni at (0.0000, 0.0000, 0.5000).

Entry 22:
First-principles (GGA-PBE) data for crystalline LiZrNiIr at its relaxed geometry, as listed in Alexandria via LeMat-Bulk.

The energy of formation is -427 meV/atom. The value obtained for the total moment is 0.0 μB/cell.

The structure belongs to space group F-43m (No. 216); the cell edges are 6.2330, 6.2330 and 6.2330 Å and the angles 90.00°, 90.00° and 90.00°. Symmetry generates all atoms from Li at (0.0000, 0.0000, 0.0000), Zr at (0.0000, 0.0000, 0.5000), Ni at (0.2500, 0.2500, 0.7500) and Ir at (0.2500, 0.2500, 0.2500).

Entry 23:
First-principles (GGA-PBE) data for crystalline CsPu2ZnCl8 at its relaxed geometry, as listed in Alexandria via LeMat-Bulk.

The calculation puts the formation energy from raw total energies at -1600.4 meV per atom. The value obtained for the total moment is 9.0 μB/cell.

The structure belongs to space group P-1 (No. 2); the cell edges are 6.8911, 7.7988 and 8.4166 Å and the angles 89.79°, 89.75° and 87.23°. Symmetry generates all atoms from Cs at (0.0000, 0.0000, 0.0000), Pu at (0.4999, 0.4999, 0.2543), Zn at (0.0000, 0.0000, 0.5000), Cl at (0.2841, 0.3823, 0.5014), Cl at (0.2872, 0.3858, 0.0010), Cl at (0.2916, 0.7860, 0.2646) and Cl at (0.2918, 0.7863, 0.7348).

Entry 24:
First-principles (GGA-PBE) data for crystalline CrOs3S at its relaxed geometry, as listed in Alexandria via LeMat-Bulk.

The calculation puts the formation energy from raw total energies at 1118.7 meV per atom. The value obtained for the total moment is 3.0 μB/cell.

The structure belongs to space group Pm-3m (No. 221); the cell edges are 4.3250, 4.3250 and 4.3250 Å and the angles 90.00°, 90.00° and 90.00°. Symmetry generates all atoms from Cr at (0.0000, 0.0000, 0.0000), Os at (0.0000, 0.5000, 0.5000) and S at (0.5000, 0.5000, 0.5000).